SrHfTl2: optimized geometry, PBE.

```
SrHfTl2
1.0
5.421 0.000 0.000
0.000 5.421 0.000
2.711 2.711 9.722
Sr Tl Hf
2 4 2
Direct
0.500 0.500 0.000
0.250 0.750 0.500
0.713 0.125 0.250
0.037 0.625 0.250
0.375 0.287 0.750
0.875 0.963 0.750
0.000 0.000 0.000
0.750 0.250 0.500
```

Formation energy = 158 kJ/mol of formula units
Energy relative to the lowest polymorph listed for this composition = 288 meV/atom
Total DFT energy (no corrections) = -3.683 eV per atom
V = 285.7 Å³ per cell
Fermi-level density of states = 3.39 states/eV per cell